[1]
Material: Pa2Pd2PbS6
Method: DFT, PBE-GGA
State: relaxed

The uncorrected formation energy comes out at -1.10 eV per atom. For the volume, the calculation gives 24.5 A^3/atom. For the calculated total energy, the calculation gives -6.36 eV/atom.

It has space group P-1 (No. 2), with a = 6.9907 Å, b = 7.0184 Å, c = 7.3866 Å, α = 62.66°, β = 62.03° and γ = 62.05°. The asymmetric unit holds Pa at (0.1687, 0.1664, 0.4983), Pd at (0.0635, 0.7020, 0.8584), Pb at (0.5000, 0.5000, 0.5000), S at (0.0400, 0.4264, 0.7409), S at (0.2182, 0.9381, 0.2639) and S at (0.4114, 0.7979, 0.7372).

=====

[2]
Material: AlCrGaAu2
Method: DFT, PBE-GGA
State: relaxed

For the volume, the calculation gives 24.3 A^3/atom. For the calculated total energy, the calculation gives -3.91 eV/atom.

It has space group P4/mmm (No. 123), with a = 5.0324 Å, b = 5.0324 Å, c = 4.8043 Å, α = 90.00°, β = 90.00° and γ = 90.00°. The asymmetric unit holds Al at (0.0000, 0.0000, 0.0000), Cr at (0.0000, 0.0000, 0.5000), Ga at (0.5000, 0.5000, 0.0000) and Au at (0.0000, 0.5000, 0.5000).

=====

[3]
Material: Cu2Hg3Pd7
Method: DFT, PBE-GGA
State: relaxed

For the volume, the calculation gives 16.3 A^3/atom. For the calculated total energy, the calculation gives -3.91 eV/atom.

It has space group C2/m (No. 12), with a = 5.9359 Å, b = 7.3661 Å, c = 9.4151 Å, α = 90.00°, β = 108.13° and γ = 90.00°. The asymmetric unit holds Cu at (0.1687, 0.0000, 0.3355), Hg at (0.0000, 0.0000, 0.0000), Hg at (0.1665, 0.5000, 0.3350), Pd at (0.0000, 0.2487, 0.5000), Pd at (0.0000, 0.5000, 0.0000) and Pd at (0.1643, 0.2499, 0.8278).

=====

[4]
Material: CeSb2Rh7
Method: DFT, PBE-GGA
State: relaxed

The uncorrected formation energy comes out at -0.41 eV per atom. For the volume, the calculation gives 17.8 A^3/atom. For the calculated total energy, the calculation gives -6.97 eV/atom.

It has space group I4/mmm (No. 139), with a = 4.1721 Å, b = 4.1721 Å, c = 20.5048 Å, α = 90.00°, β = 90.00° and γ = 90.00°. The asymmetric unit holds Ce at (0.0000, 0.0000, 0.0000), Sb at (0.0000, 0.0000, 0.3258), Rh at (0.0000, 0.0000, 0.5000), Rh at (0.0000, 0.5000, 0.0960) and Rh at (0.0000, 0.5000, 0.2500).

=====

[5]
Material: Rb2TiBiF6
Method: DFT, PBE-GGA
State: relaxed

The uncorrected formation energy comes out at -2.61 eV per atom. For the volume, the calculation gives 21.6 A^3/atom. For the calculated total energy, the calculation gives -5.11 eV/atom.

It has space group I4/mmm (No. 139), with a = 6.1854 Å, b = 6.1854 Å, c = 11.3049 Å, α = 90.00°, β = 90.00° and γ = 90.00°. The asymmetric unit holds Rb at (0.0000, 0.5000, 0.2500), Ti at (0.0000, 0.0000, 0.0000), Bi at (0.0000, 0.0000, 0.5000), F at (0.0000, 0.0000, 0.1702) and F at (0.2305, 0.2305, 0.0000).

=====

[6]
Material: RbCr2Rh
Method: DFT, PBE-GGA
State: relaxed

For the volume, the calculation gives 33.3 A^3/atom. For the calculated total energy, the calculation gives -5.81 eV/atom.

It has space group I4_1/amd (No. 141, origin choice 2), with a = 5.8927 Å, b = 5.8927 Å, c = 15.3538 Å, α = 90.00°, β = 90.00° and γ = 90.00°. The asymmetric unit holds Rb at (0.0000, 0.2500, 0.3750), Cr at (0.0000, 0.0000, 0.0000) and Rh at (0.0000, 0.2500, 0.8750).

=====

[7]
Material: TeAsPCl2
Method: DFT, PBE-GGA
State: relaxed

The uncorrected formation energy comes out at 0.33 eV per atom. For the volume, the calculation gives 25.0 A^3/atom. For the calculated total energy, the calculation gives -3.05 eV/atom.

It has space group P4/mmm (No. 123), with a = 4.7554 Å, b = 4.7554 Å, c = 5.5221 Å, α = 90.00°, β = 90.00° and γ = 90.00°. The asymmetric unit holds Te at (0.0000, 0.0000, 0.0000), As at (0.5000, 0.5000, 0.5000), P at (0.5000, 0.5000, 0.0000) and Cl at (0.0000, 0.5000, 0.5000).

=====

[8]
Material: SiPOs
Method: DFT, PBE-GGA
State: relaxed

The uncorrected formation energy comes out at -0.22 eV per atom. For the volume, the calculation gives 15.4 A^3/atom. For the calculated total energy, the calculation gives -7.58 eV/atom.

It has space group P2_1 (No. 4), with a = 2.8729 Å, b = 5.9077 Å, c = 5.4573 Å, α = 90.00°, β = 90.32° and γ = 90.00°. The asymmetric unit holds Si at (0.2041, 0.0000, 0.4204), P at (0.2149, 0.2418, 0.0815) and Os at (0.2820, 0.6205, 0.2345).

=====

[9]
Material: PrHAu
Method: DFT, PBE-GGA
State: relaxed

For the volume, the calculation gives 18.9 A^3/atom. For the calculated total energy, the calculation gives -4.51 eV/atom.

It has space group P2_1/m (No. 11), with a = 4.0261 Å, b = 4.1164 Å, c = 6.8994 Å, α = 90.00°, β = 98.40° and γ = 90.00°. The asymmetric unit holds Pr at (0.2040, 0.2500, 0.3124), H at (0.2503, 0.7500, 0.4976) and Au at (0.3471, 0.2500, 0.8704).

=====

[10]
Material: InTcPt2
Method: DFT, PBE-GGA
State: relaxed

For the volume, the calculation gives 16.4 A^3/atom. For the calculated total energy, the calculation gives -6.46 eV/atom.

It has space group P4/mmm (No. 123), with a = 2.8679 Å, b = 2.8679 Å, c = 7.9822 Å, α = 90.00°, β = 90.00° and γ = 90.00°. The asymmetric unit holds In at (0.0000, 0.0000, 0.0000), Tc at (0.0000, 0.0000, 0.5000) and Pt at (0.5000, 0.5000, 0.2654).